#one
Entry from the Alexandria database: a relaxed structure of Pr5Y2Ho2 (PBE-GGA).

abc: 6.3147 6.3151 14.0886
angles: 58.59 132.12 131.81
Closest atoms and distances in Å follow each position.
Fractional coordinates of all 9 atoms:
Pr 0.2220 0.3326 0.5550  3 Ho 3.61-3.63, 4 Pr 3.63-3.66, 5 Y 3.64-3.65
Pr 0.4462 0.6660 0.1116  2 Y 3.64, 6 Pr 3.64-3.66, 4 Ho 3.65
Pr 0.0000 0.0000 0.0000  2 Y 3.63, 6 Pr 3.64-3.66, 4 Ho 3.66
Y 0.6665 0.0000 0.6670  8 Pr 3.63-3.65, 3 Ho 3.64, 1 Y 3.65
Pr 0.5538 0.3340 0.8884  2 Y 3.64, 6 Pr 3.64-3.66, 4 Ho 3.65
Ho 0.8920 0.3325 0.2239  9 Pr 3.61-3.66, 3 Y 3.64
Pr 0.7780 0.6674 0.4450  3 Ho 3.61-3.63, 4 Pr 3.63-3.66, 5 Y 3.64-3.65
Ho 0.1080 0.6675 0.7761  9 Pr 3.61-3.66, 3 Y 3.64
Y 0.3335 0.0000 0.3330  8 Pr 3.63-3.65, 3 Ho 3.64, 1 Y 3.65

Summary:
As for the space group: C2/m (12).



#two
Entry from the Alexandria database: a relaxed structure of Pr5Y2Ho2 (PBE-GGA).

abc: 11.9358 6.8636 10.2276
angles: 109.61 125.70 90.00
Closest atoms and distances in Å follow each position.
Fractional coordinates of all 18 atoms:
Ho 0.5000 0.5658 0.0000  6 Pr 3.47-3.71, 2 Y 3.78, 2 Ho 3.79
Ho 0.0000 0.0658 0.0000  6 Pr 3.47-3.71, 2 Y 3.78, 2 Ho 3.79
Ho 0.7494 0.8415 0.5000  4 Pr 3.40-3.55, 2 Y 3.57, 2 Ho 3.79
Pr 0.8200 0.7681 0.0999  4 Pr 3.15-3.47, 1 Y 3.34, 1 Ho 3.47
Pr 0.7799 0.2681 0.0999  4 Pr 3.15-3.47, 1 Y 3.34, 1 Ho 3.47
Pr 0.3693 0.0270 0.2886  4 Pr 3.15-3.48, 2 Y 3.35-3.50, 1 Ho 3.43
Pr 0.6307 0.7384 0.7114  4 Pr 3.15-3.48, 2 Y 3.35-3.50, 1 Ho 3.43
Pr 0.1800 0.6682 0.9001  4 Pr 3.15-3.47, 1 Y 3.34, 1 Ho 3.47
Pr 0.9878 0.1515 0.5000  4 Pr 3.30-3.44, 2 Ho 3.40-3.55, 2 Y 3.60
Pr 0.2201 0.1682 0.9001  4 Pr 3.15-3.47, 1 Y 3.34, 1 Ho 3.47
Pr 0.0122 0.6515 0.5000  4 Pr 3.30-3.44, 2 Ho 3.40-3.55, 2 Y 3.60
Y 0.8611 0.4089 0.7421  4 Pr 3.34-3.60, 1 Ho 3.57, 1 Y 3.66
Y 0.1389 0.6668 0.2579  4 Pr 3.34-3.60, 1 Ho 3.57, 1 Y 3.66
Pr 0.4194 0.5270 0.2886  4 Pr 3.15-3.48, 2 Y 3.35-3.50, 1 Ho 3.43
Y 0.6190 0.1668 0.2579  4 Pr 3.34-3.60, 1 Ho 3.57, 1 Y 3.66
Y 0.3810 0.9089 0.7421  4 Pr 3.34-3.60, 1 Ho 3.57, 1 Y 3.66
Ho 0.2506 0.3415 0.5000  4 Pr 3.40-3.55, 2 Y 3.57, 2 Ho 3.79
Pr 0.5806 0.2384 0.7114  4 Pr 3.15-3.48, 2 Y 3.35-3.50, 1 Ho 3.43

Summary:
As for the space group: Ima2 (46).



Most favorable first, least favorable last: #one, #two